Here is an optimized crystal structure of Cs3Tl3AgBr8 from Alexandria via LeMat-Bulk. Energies are from PBE-GGA.

The raw formation energy comes out at -1.069 eV/atom.

The space group is C2/m (No. 12) and the conventional cell measures 16.609, 9.943 and 9.729 Å, with angles of 90.00, 123.48 and 90.00 degrees. The distinct sites, in fractional coordinates, are Cs at (0.000, 0.000, 0.000), Cs at (0.250, 0.250, 0.500), Tl at (0.000, 0.500, 0.500), Tl at (0.250, 0.250, 0.000), Ag at (0.000, 0.500, 0.000), Br at (0.007, 0.296, 0.787), Br at (0.193, 0.500, 0.181) and Br at (0.243, 0.500, 0.758).

***

Here is an optimized crystal structure of TmNpB from Alexandria via LeMat-Bulk. Energies are from PBE-GGA.

The space group is Fmmm (No. 69) and the conventional cell measures 5.860, 7.475 and 11.695 Å, with angles of 90.00, 90.00 and 90.00 degrees. The distinct sites, in fractional coordinates, are Tm at (0.000, 0.000, 0.204), Np at (0.000, 0.175, 0.500) and B at (0.141, 0.000, 0.000).

***

Respective calculated total energy values: -2.796, -7.783 eV per atom.